Entry 1:
## LaBi2Au (PBEsol)

Data for a relaxed structure of LaBi2Au.

It has space group P4/nmm (No. 129, origin choice 2), with a = 4.6702 Å, b = 4.6702 Å, c = 9.8757 Å, α = 90.00°, β = 90.00° and γ = 90.00°. The inequivalent atoms are La at (0.2500, 0.2500, 0.2335), Bi at (0.2500, 0.2500, 0.8141), Bi at (0.2500, 0.7500, 0.5000) and Au at (0.2500, 0.7500, 0.0000).

Its density of states at the Fermi level is 0.41 states/eV per atom.



Entry 2:
## La3Bi4Au3 (PBEsol)

Data for a relaxed structure of La3Bi4Au3.

It has space group I-43d (No. 220), with a = 10.2560 Å, b = 10.2560 Å, c = 10.2560 Å, α = 90.00°, β = 90.00° and γ = 90.00°. The inequivalent atoms are La at (0.0000, 0.2500, 0.3750), Bi at (0.0888, 0.0888, 0.0888) and Au at (0.0000, 0.2500, 0.8750).



Entry 3:
## La3BiAu (PBEsol)

Data for a relaxed structure of La3BiAu.

It has space group Pm-3m (No. 221), with a = 5.9813 Å, b = 5.9813 Å, c = 5.9813 Å, α = 90.00°, β = 90.00° and γ = 90.00°. The inequivalent atoms are La at (0.0000, 0.0000, 0.5000), Bi at (0.0000, 0.0000, 0.0000) and Au at (0.5000, 0.5000, 0.5000).

Its density of states at the Fermi level is 2.23 states/eV per atom.



Entry 4:
## LiBi2Au2 (PBEsol)

Data for a relaxed structure of LiBi2Au2.

It has space group P4/mbm (No. 127), with a = 7.3438 Å, b = 7.3438 Å, c = 4.1928 Å, α = 90.00°, β = 90.00° and γ = 90.00°. The inequivalent atoms are Li at (0.0000, 0.0000, 0.0000), Bi at (0.1742, 0.3258, 0.5000) and Au at (0.1352, 0.6352, 0.0000).

Its density of states at the Fermi level is 0.41 states/eV per atom.



Entry 5:
## Li2BiAu2 (PBEsol)

Data for a relaxed structure of Li2BiAu2.

It has space group P4/mbm (No. 127), with a = 7.5612 Å, b = 7.5612 Å, c = 3.0870 Å, α = 90.00°, β = 90.00° and γ = 90.00°. The inequivalent atoms are Li at (0.1360, 0.3640, 0.0000), Bi at (0.0000, 0.0000, 0.0000) and Au at (0.1492, 0.6492, 0.5000).

Its density of states at the Fermi level is 0.35 states/eV per atom.



Entry 6:
## Mg2BiAu2 (PBEsol)

Data for a relaxed structure of Mg2BiAu2.

It has space group P4/mbm (No. 127), with a = 7.8240 Å, b = 7.8240 Å, c = 3.3152 Å, α = 90.00°, β = 90.00° and γ = 90.00°. The inequivalent atoms are Mg at (0.1593, 0.3407, 0.0000), Bi at (0.0000, 0.0000, 0.5000) and Au at (0.1313, 0.6313, 0.5000).

Its density of states at the Fermi level is 0.40 states/eV per atom.



no.,formation energy (eV/atom),size of the total moment (Bohr magnetons per cell)
1,-0.683,0.0
2,-0.857,0.0
3,0.365,0.7
4,-0.187,0.0
5,-0.317,0.0
6,-0.421,0.0